Entry 1:
Material: Nd2DyPb
Method: DFT, GGA-PBE
State: relaxed

abc: 5.0142 4.9211 4.9211
angles: 90.00 90.00 90.00
Element x y z (fractional)
Dy  0.5000  0.5000  0.5000
Nd  0.0000  0.0000  0.5000
Nd  0.0000  0.5000  0.0000
Pb  0.5000  0.0000  0.0000

offset from the most stable computed form = 0 meV per atom
energy of formation = -0.317 eV/atom
crystal system = tetragonal
space-group type = No. 123

=====

Entry 2:
Material: Nd5DyPb6
Method: DFT, GGA-PBE
State: relaxed

abc: 5.0499 9.2002 8.0868
angles: 90.00 72.33 90.00
Element x y z (fractional)
Nd  0.0000  0.5000  0.0000
Nd  0.6651  0.0000  0.6699
Nd  0.3335  0.5000  0.3331
Nd  0.6665  0.5000  0.6669
Nd  0.3349  0.0000  0.3301
Dy  0.0000  0.0000  0.0000
Pb  0.8346  0.7522  0.3309
Pb  0.1654  0.7522  0.6691
Pb  0.5000  0.7522  0.0000
Pb  0.8346  0.2478  0.3309
Pb  0.5000  0.2478  0.0000
Pb  0.1654  0.2478  0.6691

offset from the most stable computed form = 0 meV per atom
energy of formation = -0.505 eV/atom
crystal system = monoclinic
space-group type = No. 10

=====

Entry 3:
Material: Nd9DyPb2
Method: DFT, GGA-PBE
State: relaxed

abc: 5.0130 5.0130 15.4548
angles: 90.00 90.00 90.00
Element x y z (fractional)
Pb  0.0000  0.0000  0.3371
Pb  0.0000  0.0000  0.6629
Nd  0.5000  0.0000  0.1727
Nd  0.5000  0.5000  0.3380
Nd  0.5000  0.0000  0.8273
Nd  0.0000  0.5000  0.5000
Nd  0.0000  0.5000  0.1727
Nd  0.5000  0.0000  0.5000
Nd  0.5000  0.5000  0.6620
Nd  0.0000  0.5000  0.8273
Nd  0.5000  0.5000  0.0000
Dy  0.0000  0.0000  0.0000

energy of formation = -0.209 eV/atom
crystal system = tetragonal
space-group type = No. 123

=====

Entry 4:
Material: Nd2DyPb2
Method: DFT, GGA-PBE
State: relaxed

abc: 4.5773 8.3044 8.3044
angles: 90.00 90.00 90.00
Element x y z (fractional)
Pb  0.0000  0.8637  0.6363
Pb  0.0000  0.3637  0.8637
Pb  0.0000  0.1363  0.3637
Pb  0.0000  0.6363  0.1363
Nd  0.5000  0.6683  0.8317
Nd  0.5000  0.8317  0.3317
Nd  0.5000  0.1683  0.6683
Nd  0.5000  0.3317  0.1683
Dy  0.0000  0.0000  0.0000
Dy  0.0000  0.5000  0.5000

offset from the most stable computed form = 0 meV per atom
energy of formation = -0.521 eV/atom
crystal system = tetragonal
space-group type = No. 127

=====

Entry 5:
Material: Nd5DyPb6
Method: DFT, GGA-PBE
State: relaxed

abc: 9.5722 5.9586 7.9365
angles: 67.95 80.59 64.19
Element x y z (fractional)
Dy  0.0000  0.0000  0.0000
Pb  0.2453  0.9220  0.6712
Pb  0.7547  0.4068  0.6712
Pb  0.2528  0.2277  0.0000
Pb  0.7547  0.0780  0.3288
Pb  0.2453  0.5932  0.3288
Pb  0.7472  0.7723  0.0000
Nd  0.5000  0.8299  0.3402
Nd  0.0000  0.6633  0.6734
Nd  0.0000  0.3367  0.3266
Nd  0.5000  0.1701  0.6598
Nd  0.5000  0.5000  0.0000

offset from the most stable computed form = 19 meV per atom
energy of formation = -0.486 eV/atom
crystal system = monoclinic
space-group type = No. 12

=====

Entry 6:
Material: Nd3DyPb3
Method: DFT, GGA-PBE
State: relaxed

abc: 6.3811 9.7103 9.7103
angles: 120.00 90.00 90.00
Element x y z (fractional)
Dy  0.2500  0.6667  0.3333
Dy  0.7500  0.3333  0.6667
Pb  0.7500  0.0109  0.6644
Pb  0.7500  0.3356  0.3465
Pb  0.2500  0.6644  0.6535
Pb  0.7500  0.6535  0.9891
Pb  0.2500  0.9891  0.3356
Pb  0.2500  0.3465  0.0109
Nd  0.7500  0.9719  0.3081
Nd  0.2500  0.6638  0.9719
Nd  0.7500  0.6919  0.6638
Nd  0.7500  0.3362  0.0281
Nd  0.2500  0.0281  0.6919
Nd  0.2500  0.3081  0.3362

energy of formation = -0.280 eV/atom
crystal system = hexagonal
space-group type = No. 176